Record 1
{
  "formula": "K2TlCrCl8",
  "functional": "GGA-PBE",
  "state": "optimized geometry",
  "cell": [[-6.744, 1.591, -0.526], [-0.857, -3.470, 5.441], [1.208, 6.527, 4.365]],
  "species": ["K", "K", "Cr", "Cl", "Cl", "Cl", "Cl", "Cl", "Cl", "Cl", "Cl", "Tl"],
  "frac_coords": [[0.500, 0.501, 0.235], [0.500, 0.499, 0.765], [0.000, 0.000, 0.000], [0.886, 0.217, 0.218], [0.683, 0.798, 0.500], [0.113, 0.782, 0.219], [0.887, 0.218, 0.781], [0.704, 0.813, 0.000], [0.114, 0.783, 0.782], [0.317, 0.202, 0.500], [0.296, 0.187, 0.000], [0.000, 0.000, 0.500]],
  "dft_energy_ev_per_atom": -3.62,
  "m_tot_mub_per_atom": 0.250
}

---

Record 2
{
  "formula": "KTl3Cr2Cl9",
  "functional": "GGA-PBE",
  "state": "optimized geometry",
  "cell": [[7.077, 0.000, 0.000], [-3.538, 6.129, 0.000], [0.000, 0.000, 10.040]],
  "species": ["Cl", "Cl", "Cl", "Cl", "Cl", "Cl", "Cl", "Cl", "Cl", "Cr", "Cr", "Tl", "Tl", "Tl", "K"],
  "frac_coords": [[0.173, 0.827, 0.277], [0.173, 0.345, 0.277], [0.827, 0.655, 0.723], [0.500, 0.500, 0.000], [0.345, 0.173, 0.723], [0.827, 0.173, 0.723], [0.500, 0.000, 0.000], [0.655, 0.827, 0.277], [0.000, 0.500, 0.000], [0.333, 0.667, 0.151], [0.667, 0.333, 0.849], [0.333, 0.667, 0.741], [0.667, 0.333, 0.259], [0.000, 0.000, 0.000], [0.000, 0.000, 0.500]],
  "dft_energy_ev_per_atom": -4.07,
  "m_tot_mub_per_atom": 0.467
}

---

Record 3
{
  "formula": "KTl2CrCl",
  "functional": "GGA-PBE",
  "state": "optimized geometry",
  "cell": [[6.531, 0.000, 0.000], [0.000, 5.845, 0.000], [0.000, 0.000, 6.531]],
  "species": ["Cl", "Tl", "Tl", "Cr", "K"],
  "frac_coords": [[0.500, 0.500, 0.500], [0.000, 0.000, 0.500], [0.500, 0.000, 0.000], [0.000, 0.500, 0.000], [0.000, 0.000, 0.000]],
  "dft_energy_ev_per_atom": -2.62,
  "m_tot_mub_per_atom": 1.070
}

---

Record 4
{
  "formula": "KTlCrCl2",
  "functional": "GGA-PBE",
  "state": "optimized geometry",
  "cell": [[5.760, 0.000, 0.000], [0.000, 5.801, 0.000], [0.000, 0.000, 5.760]],
  "species": ["Cl", "Cl", "K", "Tl", "Cr"],
  "frac_coords": [[0.500, 0.000, 0.000], [0.000, 0.000, 0.500], [0.000, 0.000, 0.000], [0.500, 0.500, 0.500], [0.000, 0.500, 0.000]],
  "dft_energy_ev_per_atom": -3.45,
  "m_tot_mub_per_atom": 1.200
}

---

no.,raw formation energy (meV per atom)
1,-1211
2,-1136
3,841
4,-92